# Rb2TlTcF6 GGA-PBE relaxed
# density = 4.68 Mg/m³
# N(E_F) = 5.05 states/eV per cell
# magnetic moment = 0.2000 μB/atom
# crystal system = orthorhombic
# excess energy over the best structure of this formula in the dataset = 0.00 eV per formula unit
# energy relative to the elements, uncorrected = -2235.8 meV/atom
data_Rb2TlTcF6
_chemical_formula_sum 'Rb4 Tl2 Tc2 F12'
_cell_length_a 6.189
_cell_length_b 9.329
_cell_length_c 7.216
_cell_angle_alpha 90.00
_cell_angle_beta 90.00
_cell_angle_gamma 90.00
_symmetry_space_group_name_H-M 'P m m n'
_symmetry_Int_Tables_number 59
loop_
_symmetry_equiv_pos_as_xyz
'x,y,z'
'-x,-y,-z'
'-x+1/2,-y+1/2,z'
'x+1/2,y+1/2,-z'
'x+1/2,-y,-z'
'-x+1/2,y,z'
'-x,y+1/2,-z'
'x,-y+1/2,z'
loop_
_atom_site_label
_atom_site_type_symbol
_atom_site_fract_x
_atom_site_fract_y
_atom_site_fract_z
_atom_site_occupancy
Rb1 Rb 0.250 0.028 0.196 1
Tl1 Tl 0.250 0.250 0.699 1
Tc1 Tc 0.250 0.750 0.796 1
F1 F 0.016 0.750 0.599 1
F2 F 0.023 0.750 0.002 1
F3 F 0.250 0.527 0.803 1